The following is a DFT calculation (PBE-GGA) of TaAlCo5 after structural relaxation.

Lattice parameters (Å, degrees): 3.9663 3.9663 5.7344 90.00 90.00 90.00
Element x y z (fractional)
Co 0.0000 0.5000 0.2322
Co 0.5000 0.5000 0.5000
Co 0.0000 0.5000 0.7678
Ta 0.0000 0.0000 0.5000
Co 0.5000 0.0000 0.7678
Co 0.5000 0.0000 0.2322
Al 0.5000 0.5000 0.0000

Computed properties:
The energy of formation is 0.008 eV per atom. The value obtained for the total DFT energy (no corrections) is -51.07 eV per cell. The value obtained for the theoretical density is 9.251 g cm⁻³.

The following is a DFT calculation (PBE-GGA) of Ta2AlCo after structural relaxation.

Lattice parameters (Å, degrees): 4.4195 2.8183 4.9935 82.83 90.00 90.00
Element x y z (fractional)
Ta 0.0000 0.0148 0.9605
Al 0.0000 0.6327 0.4792
Co 0.5000 0.6378 0.7721
Ta 0.5000 0.2147 0.2882

Computed properties:
The energy of formation is -0.115 eV per atom. The value obtained for the total DFT energy (no corrections) is -35.02 eV per cell. The value obtained for the theoretical density is 12.050 g cm⁻³.